(1)
KCrRe2: single point on PBEsol structure, meta-GGA SCAN.

Unit cell a=4.785 b=4.785 c=6.685 alpha=96.58 beta=96.58 gamma=35.14
Positions (direct):
K 0.000 0.000 0.000
Cr 0.784 0.784 0.382
Re 0.221 0.221 0.621
Re 0.493 0.493 0.495

Output
DFT formation energy   966 meV per atom
Offset from the most stable computed form   0.178 eV/atom
Mass density   8801 kg/m3
D(E_F)   2.3 states/eV per cell
SG   No. 8


(2)
KCrRe2: single point on PBEsol structure, meta-GGA SCAN.

Unit cell a=2.627 b=3.700 c=8.156 alpha=90.00 beta=93.03 gamma=90.00
Positions (direct):
K 0.000 0.000 0.000
Cr 0.500 0.000 0.500
Re 0.025 0.500 0.649
Re 0.975 0.500 0.351

Output
DFT formation energy   904 meV per atom
Offset from the most stable computed form   0.117 eV/atom
Mass density   9724 kg/m3
D(E_F)   3.4 states/eV per cell
SG   No. 10


(3)
KCrRe2: single point on PBEsol structure, meta-GGA SCAN.

Unit cell a=2.674 b=2.674 c=9.526 alpha=90.00 beta=90.00 gamma=90.00
Positions (direct):
K 0.000 0.000 0.000
Cr 0.000 0.000 0.500
Re 0.500 0.500 0.315
Re 0.500 0.500 0.685

Output
DFT formation energy   899 meV per atom
Offset from the most stable computed form   0.111 eV/atom
Mass density   11301 kg/m3
D(E_F)   3.8 states/eV per cell
SG   No. 123


(4)
KCr2Re: single point on PBEsol structure, meta-GGA SCAN.

Unit cell a=2.655 b=2.655 c=9.858 alpha=90.00 beta=90.00 gamma=111.10
Positions (direct):
K 0.000 0.000 0.000
Cr 0.500 0.500 0.301
Cr 0.500 0.500 0.699
Re 0.000 0.000 0.500

Output
DFT formation energy   970 meV per atom
Mass density   8436 kg/m3
D(E_F)   4.3 states/eV per cell
SG   No. 65


(5)
KCrRe2: single point on PBEsol structure, meta-GGA SCAN.

Unit cell a=10.165 b=10.165 c=10.165 alpha=15.51 beta=15.51 gamma=15.51
Positions (direct):
K 0.000 0.000 0.000
Cr 0.500 0.500 0.500
Re 0.233 0.233 0.233
Re 0.767 0.767 0.767

Output
DFT formation energy   788 meV per atom
Offset from the most stable computed form   0.000 eV/atom
Mass density   11765 kg/m3
D(E_F)   3.5 states/eV per cell
SG   No. 166


(6)
K2CrRh: single point on PBEsol structure, meta-GGA SCAN.

Unit cell a=5.073 b=5.073 c=5.073 alpha=60.00 beta=60.00 gamma=60.00
Positions (direct):
K 0.000 0.000 0.000
K 0.250 0.250 0.250
Cr 0.500 0.500 0.500
Rh 0.750 0.750 0.750

Output
DFT formation energy   793 meV per atom
Offset from the most stable computed form   0.000 eV/atom
Mass density   4193 kg/m3
D(E_F)   2.9 states/eV per cell
SG   No. 216


(7)
K2CrRh: single point on PBEsol structure, meta-GGA SCAN.

Unit cell a=4.436 b=4.436 c=5.343 alpha=90.00 beta=90.00 gamma=90.00
Positions (direct):
K 0.000 0.000 0.245
K 0.000 0.000 0.755
Cr 0.500 0.500 0.500
Rh 0.500 0.500 0.000

Output
DFT formation energy   944 meV per atom
Offset from the most stable computed form   0.151 eV/atom
Mass density   3681 kg/m3
D(E_F)   2.9 states/eV per cell
SG   No. 123


(8)
KCrRh: single point on PBEsol structure, meta-GGA SCAN.

Unit cell a=6.791 b=6.791 c=6.791 alpha=152.93 beta=152.93 gamma=38.66
Positions (direct):
K 0.000 0.000 0.000
Cr 0.277 0.277 0.000
Rh 0.702 0.702 0.000

Output
DFT formation energy   408 meV per atom
Mass density   4973 kg/m3
D(E_F)   3.3 states/eV per cell
SG   No. 107


(9)
KCrRh2: single point on PBEsol structure, meta-GGA SCAN.

Unit cell a=4.843 b=4.843 c=4.843 alpha=129.40 beta=129.40 gamma=74.37
Positions (direct):
K 0.000 0.000 0.000
Cr 0.750 0.250 0.500
Rh 0.250 0.750 0.500
Rh 0.500 0.500 0.000

Output
DFT formation energy   877 meV per atom
Mass density   7457 kg/m3
D(E_F)   3.2 states/eV per cell
SG   No. 119


(10)
K3CrRh: single point on PBEsol structure, meta-GGA SCAN.

Unit cell a=5.836 b=5.836 c=5.836 alpha=90.00 beta=90.00 gamma=90.00
Positions (direct):
K 0.000 0.000 0.500
K 0.000 0.500 0.000
K 0.500 0.000 0.000
Cr 0.500 0.500 0.500
Rh 0.000 0.000 0.000

Output
DFT formation energy   949 meV per atom
Mass density   2274 kg/m3
D(E_F)   3.5 states/eV per cell
SG   No. 221


(11)
KCr2Ru: single point on PBEsol structure, meta-GGA SCAN.

Unit cell a=5.584 b=5.584 c=5.584 alpha=151.05 beta=126.23 gamma=62.23
Positions (direct):
K 0.000 0.000 0.000
Cr 0.495 0.495 0.000
Cr 0.711 0.211 0.500
Ru 0.283 0.783 0.500

Output
DFT formation energy   920 meV per atom
Mass density   6015 kg/m3
D(E_F)   2.5 states/eV per cell
SG   No. 44


(12)
KCrRu2: single point on PBEsol structure, meta-GGA SCAN.

Unit cell a=2.724 b=2.724 c=8.835 alpha=90.00 beta=90.00 gamma=90.00
Positions (direct):
K 0.000 0.000 0.000
Cr 0.000 0.000 0.500
Ru 0.500 0.500 0.318
Ru 0.500 0.500 0.682

Output
DFT formation energy   734 meV per atom
Mass density   7425 kg/m3
D(E_F)   4.3 states/eV per cell
SG   No. 123


The lowest D(E_F) belongs to which entry? number 1


Copy entry 9 word for word.
KCrRh2: single point on PBEsol structure, meta-GGA SCAN.

Unit cell a=4.843 b=4.843 c=4.843 alpha=129.40 beta=129.40 gamma=74.37
Positions (direct):
K 0.000 0.000 0.000
Cr 0.750 0.250 0.500
Rh 0.250 0.750 0.500
Rh 0.500 0.500 0.000

Output
DFT formation energy   877 meV per atom
Mass density   7457 kg/m3
D(E_F)   3.2 states/eV per cell
SG   No. 119


Which of these has the highest DFT formation energy? KCr2Re